# 1
A plane-wave DFT calculation with PBE was carried out for Ca2Cd2Pd after structural relaxation.

Lattice parameters (Å, degrees): 7.431 7.431 4.702 90.00 90.00 90.00
Fractional coordinates of all 10 atoms:
Ca: 0.176 0.676 0.500
Ca: 0.676 0.824 0.500
Ca: 0.824 0.324 0.500
Ca: 0.324 0.176 0.500
Pd: 0.000 0.000 0.000
Pd: 0.500 0.500 0.000
Cd: 0.364 0.864 0.000
Cd: 0.864 0.636 0.000
Cd: 0.636 0.136 0.000
Cd: 0.136 0.364 0.000

ρ ... 5.262 g cm⁻³
DFT formation energy ... -1.654 eV per formula unit
Polymorph energy (0 for the lowest one) ... 147.7 meV/atom
VASP energy ... -0.186 Ry per atom
Total moment ... 0.00 μB/cell
Symmetry ... P4/mbm, No. 127

# 2
A plane-wave DFT calculation with PBE was carried out for Ca4Cd3Pd after structural relaxation.

Lattice parameters (Å, degrees): 3.738 3.738 15.213 90.00 90.00 90.00
Fractional coordinates of all 8 atoms:
Ca: 0.000 0.000 0.890
Ca: 0.000 0.000 0.110
Ca: 0.000 0.000 0.370
Ca: 0.000 0.000 0.630
Pd: 0.500 0.500 0.000
Cd: 0.500 0.500 0.240
Cd: 0.500 0.500 0.500
Cd: 0.500 0.500 0.760

ρ ... 4.719 g cm⁻³
DFT formation energy ... -3.439 eV per formula unit
VASP energy ... -0.178 Ry per atom
Total moment ... 0.00 μB/cell
Symmetry ... P4/mmm, No. 123

# 3
A plane-wave DFT calculation with PBE was carried out for Ca6Cd2Pd after structural relaxation.

Lattice parameters (Å, degrees): 9.050 9.050 9.050 71.81 70.51 110.74
Fractional coordinates of all 18 atoms:
Ca: 0.168 0.756 0.077
Ca: 0.832 0.244 0.923
Ca: 0.168 0.244 0.588
Ca: 0.832 0.756 0.412
Ca: 0.459 0.270 0.810
Ca: 0.541 0.730 0.190
Ca: 0.080 0.270 0.190
Ca: 0.920 0.730 0.810
Ca: 0.332 0.057 0.275
Ca: 0.668 0.943 0.725
Ca: 0.332 0.608 0.725
Ca: 0.668 0.392 0.275
Cd: 0.137 0.637 0.500
Cd: 0.863 0.363 0.500
Cd: 0.354 0.000 0.646
Cd: 0.646 0.000 0.354
Pd: 0.500 0.500 0.000
Pd: 0.000 0.000 0.000

ρ ... 3.329 g cm⁻³
DFT formation energy ... -2.318 eV per formula unit
VASP energy ... -0.174 Ry per atom
Total moment ... 0.00 μB/cell
Symmetry ... Immm, No. 71

# 4
A plane-wave DFT calculation with PBE was carried out for Ca6CdPd after structural relaxation.

Lattice parameters (Å, degrees): 5.274 5.274 10.257 75.10 75.10 90.00
Fractional coordinates of all 8 atoms:
Ca: 0.749 0.749 0.502
Ca: 0.594 0.094 0.811
Ca: 0.094 0.594 0.811
Ca: 0.406 0.906 0.189
Ca: 0.251 0.251 0.498
Ca: 0.906 0.406 0.189
Cd: 0.500 0.500 0.000
Pd: 0.000 0.000 0.000

ρ ... 2.870 g cm⁻³
DFT formation energy ... -1.907 eV per formula unit
VASP energy ... -0.184 Ry per atom
Total moment ... 0.00 μB/cell
Symmetry ... I4/mmm, No. 139

# 5
A plane-wave DFT calculation with PBE was carried out for Ca3Cd7Pd4 after structural relaxation.

Lattice parameters (Å, degrees): 4.465 8.490 9.226 71.96 76.00 74.75
Fractional coordinates of all 14 atoms:
Ca: 0.303 0.184 0.210
Ca: 0.697 0.816 0.790
Ca: 0.000 0.500 0.500
Cd: 0.320 0.843 0.518
Cd: 0.489 0.223 0.799
Cd: 0.838 0.395 0.928
Cd: 0.680 0.157 0.482
Cd: 0.162 0.605 0.072
Cd: 0.000 0.000 0.000
Cd: 0.511 0.777 0.201
Pd: 0.667 0.433 0.233
Pd: 0.333 0.567 0.767
Pd: 0.888 0.903 0.321
Pd: 0.112 0.097 0.679

ρ ... 7.007 g cm⁻³
DFT formation energy ... -6.482 eV per formula unit
VASP energy ... -0.208 Ry per atom
Total moment ... 0.00 μB/cell
Symmetry ... C2/m, No. 12

# 6
A plane-wave DFT calculation with PBE was carried out for Ca2CdPd3 after structural relaxation.

Lattice parameters (Å, degrees): 5.485 5.485 5.485 62.61 62.61 62.61
Fractional coordinates of all 6 atoms:
Ca: 0.375 0.375 0.375
Ca: 0.625 0.625 0.625
Cd: 0.000 0.000 0.000
Pd: 0.000 0.000 0.500
Pd: 0.500 0.000 0.000
Pd: 0.000 0.500 0.000

ρ ... 6.885 g cm⁻³
DFT formation energy ... -3.942 eV per formula unit
Polymorph energy (0 for the lowest one) ... 0.0 meV/atom
VASP energy ... -0.299 Ry per atom
Total moment ... 0.00 μB/cell
Symmetry ... R-3m, No. 166

# 7
A plane-wave DFT calculation with PBE was carried out for Ca5CdPd6 after structural relaxation.

Lattice parameters (Å, degrees): 4.943 8.528 8.528 120.08 106.90 106.90
Fractional coordinates of all 12 atoms:
Ca: 0.500 0.162 0.838
Ca: 0.000 0.331 0.669
Ca: 0.500 0.500 0.500
Ca: 0.000 0.669 0.331
Ca: 0.500 0.838 0.162
Pd: 0.244 0.082 0.406
Pd: 0.756 0.594 0.918
Pd: 0.745 0.245 0.245
Pd: 0.255 0.755 0.755
Pd: 0.244 0.406 0.082
Pd: 0.756 0.918 0.594
Cd: 0.000 0.000 0.000

ρ ... 6.246 g cm⁻³
DFT formation energy ... -7.475 eV per formula unit
VASP energy ... -0.304 Ry per atom
Total moment ... 0.00 μB/cell
Symmetry ... C2/m, No. 12

# 8
A plane-wave DFT calculation with PBE was carried out for CaCd3Pd after structural relaxation.

Lattice parameters (Å, degrees): 5.183 5.183 5.183 90.00 90.00 90.00
Fractional coordinates of all 5 atoms:
Ca: 0.500 0.500 0.500
Pd: 0.000 0.000 0.000
Cd: 0.000 0.500 0.000
Cd: 0.000 0.000 0.500
Cd: 0.500 0.000 0.000

ρ ... 5.770 g cm⁻³
DFT formation energy ... -0.854 eV per formula unit
Polymorph energy (0 for the lowest one) ... 196.9 meV/atom
VASP energy ... -0.159 Ry per atom
Total moment ... 0.00 μB/cell
Symmetry ... Pm-3m, No. 221